(1)
! LiCa2RhI (GGA-PBE, relaxed); values from VASP
&SYSTEM
  ibrav = 0, nat = 5, ntyp = 4
/
ATOMIC_SPECIES
Li 6.94 Li.upf
Ca 40.08 Ca.upf
Rh 102.91 Rh.upf
I 126.90 I.upf
ATOMIC_POSITIONS crystal
Li 0.0000 0.0000 0.0000
Ca 0.0000 0.5000 0.5000
Ca 0.5000 0.0000 0.5000
Rh 0.5000 0.5000 0.0000
I 0.5000 0.5000 0.5000
CELL_PARAMETERS angstrom
5.8865 0.0000 0.0000
0.0000 5.8865 0.0000
0.0000 0.0000 4.9278
! DFT total energy, eV/f.u.: -14.4
! Crystal system: tetragonal
! E_form (uncorrected), meV/atom: 92
! Size of the total moment, μB/f.u.: 0.00
! Symmetry: P4/mmm (123)

***

(2)
! BaMnBe (GGA-PBE, relaxed); values from VASP
&SYSTEM
  ibrav = 0, nat = 3, ntyp = 3
/
ATOMIC_SPECIES
Ba 137.33 Ba.upf
Mn 54.94 Mn.upf
Be 9.01 Be.upf
ATOMIC_POSITIONS crystal
Ba 0.0000 0.0000 0.0000
Mn 0.7500 0.7500 0.7500
Be 0.5000 0.5000 0.5000
CELL_PARAMETERS angstrom
0.0000 3.4588 3.4588
3.4588 0.0000 3.4588
3.4588 3.4588 0.0000
! DFT total energy, eV/f.u.: -11.7
! Crystal system: cubic
! Size of the total moment, μB/f.u.: 3.20
! Formation energy from the elements, meV per atom: 1034.3
! Symmetry: F-43m (216)
! Polymorph energy (0 for the lowest one), meV/atom: 449